PRu5 | GGA-PBE | optimized geometry

Results
**Size of the total moment**: 0.00 μB/f.u.
**Energy of formation**: -30.8 meV per atom

Structure (CIF):
```
data_PRu5
_space_group_name_H-M_alt 'P 4/m m m'
_space_group_IT_number 123
_space_group_name_Hall '-P 4 2'
_cell_length_a 2.792
_cell_length_b 2.792
_cell_length_c 10.400
_cell_angle_alpha 90.00
_cell_angle_beta 90.00
_cell_angle_gamma 90.00
loop_
_atom_site_label
_atom_site_fract_x
_atom_site_fract_y
_atom_site_fract_z
_atom_site_occupancy
P1 0.000 0.000 0.000 1
Ru1 0.000 0.000 0.323 1
Ru2 0.500 0.500 0.137 1
Ru3 0.500 0.500 0.500 1
```